A | Fe5O7F3: optimized geometry, PBE with a Hubbard U.

Results
- Symmetry: No. 1
- Size of the total moment: 19.676 μB per cell

The structure in extended XYZ format:
```
30
Lattice="4.665 0.000 0.000 -0.123 4.666 0.000 -0.010 -0.021 15.214" Properties=species:S:1:pos:R:3 pbc="T T T"
Fe 0.000 0.000 0.000
Fe -0.006 0.015 9.257
Fe 0.005 0.013 2.944
Fe 0.055 4.551 6.099
Fe 0.115 4.409 12.194
Fe 2.300 2.061 4.647
Fe 2.313 2.042 7.556
Fe 2.373 2.216 10.677
Fe 2.380 2.198 13.708
Fe 2.439 2.172 1.521
O 0.906 0.718 7.681
O 0.906 0.735 4.515
O 0.941 0.841 1.455
O 0.992 0.748 13.708
O 1.016 0.753 10.731
O 1.404 3.063 6.089
O 1.531 3.023 12.203
O 3.218 1.323 3.079
O 3.222 1.331 9.168
O 3.245 1.362 15.175
O 3.293 1.188 6.096
O 3.725 3.698 1.489
O 3.782 3.617 10.700
O 3.789 3.631 13.709
F 1.369 3.121 9.130
F 1.369 3.147 3.049
F 1.410 3.174 0.026
F 3.373 1.245 12.189
F 3.690 3.580 7.661
F 3.699 3.579 4.538
```

B | Fe5O7F3: optimized geometry, PBE with a Hubbard U.

Results
- Symmetry: No. 7
- Size of the total moment: 41.999 μB per cell

The structure in extended XYZ format:
```
30
Lattice="4.639 0.000 0.000 0.000 4.644 0.000 -4.549 0.000 15.189" Properties=species:S:1:pos:R:3 pbc="T T T"
Fe 0.000 1.070 0.000
Fe -2.274 3.575 7.595
Fe -0.230 1.255 2.922
Fe -2.505 3.389 10.516
Fe -0.263 1.234 5.850
Fe -2.537 3.411 13.445
Fe -0.090 1.152 8.982
Fe 2.185 3.492 1.388
Fe -0.036 1.230 12.053
Fe 2.239 3.414 4.458
O -1.094 0.294 4.385
O -3.368 4.351 11.979
O -3.833 1.975 13.615
O -1.558 2.670 6.020
O 0.768 2.079 1.455
O -1.506 2.565 9.050
O -0.955 0.346 7.461
O -3.230 4.298 15.056
O 0.723 2.104 4.415
O -1.551 2.541 12.009
O 0.764 2.029 10.480
O 3.038 2.615 2.885
O 3.604 0.259 1.428
O 1.330 4.386 9.023
F -1.034 0.217 10.539
F 1.240 4.427 2.944
F 0.826 2.141 7.433
F -1.448 2.504 15.028
F -0.994 0.182 13.580
F 1.281 4.462 5.986
```

C | Fe5O7F3: optimized geometry, PBE with a Hubbard U.

Results
- Symmetry: No. 5
- Size of the total moment: 3.686 μB per cell

The structure in extended XYZ format:
```
30
Lattice="3.229 -3.316 0.000 3.229 3.316 0.000 -0.094 0.000 15.029" Properties=species:S:1:pos:R:3 pbc="T T T"
Fe 0.000 0.000 0.000
Fe 3.150 3.308 12.086
Fe 3.214 3.308 2.943
Fe 0.129 -0.055 6.055
Fe 3.171 0.177 4.383
Fe 3.193 0.177 10.646
Fe 3.182 -0.033 7.515
Fe 3.133 -0.174 13.535
Fe 3.231 -0.174 1.495
Fe 6.235 -0.055 8.974
O 3.119 2.124 10.602
O 3.245 2.124 4.427
O 3.182 1.944 7.515
O 1.850 -0.019 12.102
O 1.921 -0.021 2.906
O 1.982 -0.073 0.001
O 2.043 0.006 5.976
O 4.321 0.006 9.054
O 4.443 -0.021 12.123
O 4.382 -0.073 15.029
O 4.514 -0.019 2.927
O 3.182 -1.991 7.515
O 3.213 -2.153 1.462
O 3.151 -2.153 13.567
F 3.143 1.980 13.568
F 3.221 1.980 1.461
F 1.821 0.030 9.096
F 4.543 0.030 5.933
F 3.110 -1.981 10.579
F 3.254 -1.981 4.450
```

The calculated energies rank the structures as follows, beginning with the most stable: A, B, C.